1.
The following is a PBE calculation of Ce8PuPt2 after structural relaxation, from Alexandria via LeMat-Bulk.

POSCAR file:
```
Ce8PuPt2
1.0
5.912 -4.354 0.000
5.912 4.354 0.000
-1.887 0.000 6.091
Ce Pu Pt
8 1 2
direct
0.086 0.086 0.302
0.172 0.566 0.270
0.373 0.373 0.746
0.434 0.828 0.730
0.566 0.172 0.270
0.627 0.627 0.254
0.828 0.434 0.730
0.914 0.914 0.698
0.500 0.500 0.500
0.174 0.174 0.929
0.826 0.826 0.071
```

Calculated values
ΔH_f (0 K) in kJ/mol of atoms: -39.1
Size of the total moment in μB per cell: 2.8
Symmetry: C2/m (12)



2.
The following is a PBE calculation of Ce2Pu3Pt4 after structural relaxation, from Alexandria via LeMat-Bulk.

POSCAR file:
```
Ce2Pu3Pt4
1.0
7.765 0.000 0.000
0.000 7.800 0.000
-2.681 0.000 7.038
Ce Pu Pt
4 6 8
direct
0.197 0.177 0.067
0.197 0.323 0.567
0.803 0.677 0.433
0.803 0.823 0.933
0.239 0.666 0.233
0.239 0.834 0.733
0.500 0.000 0.500
0.500 0.500 0.000
0.761 0.166 0.267
0.761 0.334 0.767
0.080 0.538 0.833
0.080 0.962 0.333
0.489 0.134 0.866
0.489 0.366 0.366
0.511 0.634 0.634
0.511 0.866 0.134
0.920 0.038 0.667
0.920 0.462 0.167
```

Calculated values
ΔH_f (0 K) in kJ/mol of atoms: -80.0
Size of the total moment in μB per cell: 8.0
Symmetry: P2_1/c (14)



3.
The following is a PBE calculation of CePuPtRh after structural relaxation, from Alexandria via LeMat-Bulk.

POSCAR file:
```
CePuPtRh
1.0
4.226 0.000 0.000
0.000 1.969 5.361
0.000 -1.969 5.361
Ce Pu Pt Rh
1 1 1 1
direct
0.000 0.000 0.000
0.500 0.721 0.721
0.500 0.442 0.442
0.000 0.252 0.252
```

Calculated values
ΔH_f (0 K) in kJ/mol of atoms: -76.5
Size of the total moment in μB per cell: 5.9
Symmetry: Amm2 (38)



4.
The following is a PBE calculation of CePuPtRh after structural relaxation, from Alexandria via LeMat-Bulk.

POSCAR file:
```
CePuPtRh
1.0
0.000 3.499 3.499
3.499 0.000 3.499
3.499 3.499 0.000
Ce Pu Pt Rh
1 1 1 1
direct
0.000 0.000 0.000
0.500 0.500 0.500
0.750 0.750 0.750
0.250 0.250 0.250
```

Calculated values
ΔH_f (0 K) in kJ/mol of atoms: -68.8
Size of the total moment in μB per cell: 6.2
Symmetry: F-43m (216)